Computed, not measured: a relaxed structure of GaSb3Os at the PBEsol level of DFT.

Unit cell a=5.0101 b=5.0101 c=5.0101 alpha=90.00 beta=90.00 gamma=90.00
Last column: nearest neighbours and their distance in Å.
Space group Pm-3m (No. 221)
Unique sites:
Ga  0.0000  0.0000  0.0000  6 Sb 2.51
Sb  0.0000  0.0000  0.5000  2 Ga 2.51
Os  0.5000  0.5000  0.5000  12 Sb 3.54

calculated volume	125.76	Å³ per cell
E_form (uncorrected)	8.0	eV per formula unit
magnetization	0.21	μB/atom

Computed, not measured: a relaxed structure of YTaAu2 at the PBEsol level of DFT.

Unit cell a=6.7263 b=6.7263 c=6.7263 alpha=90.00 beta=90.00 gamma=90.00
Last column: nearest neighbours and their distance in Å.
Space group F-43m (No. 216)
Unique sites:
Y  0.0000  0.0000  0.0000  4 Ta 2.91, 4 Au 2.91
Ta  0.2500  0.2500  0.2500  4 Y 2.91, 4 Au 2.91
Au  0.0000  0.0000  0.5000  4 Ta 2.91, 4 Au 2.91
Au  0.2500  0.2500  0.7500  4 Y 2.91, 4 Au 2.91

calculated volume	304.31	Å³ per cell
ΔH_f (0 K)	0.099	eV/atom
magnetization	0.50	μB/atom

Computed, not measured: a relaxed structure of SrP2Ru at the PBEsol level of DFT.

Unit cell a=4.0286 b=4.0286 c=15.5731 alpha=90.00 beta=90.00 gamma=120.00
Last column: nearest neighbours and their distance in Å.
Space group R-3m (No. 166, hexagonal axes)
Unique sites:
Sr  0.0000  0.0000  0.0000  8 P 3.03-3.24
P  0.0000  0.0000  0.2083  3 Ru 2.41, 3 P 2.66
Ru  0.0000  0.0000  0.5000  6 P 2.41

calculated volume	218.89	Å³ per cell
ΔH_f (0 K)	-0.740	eV/atom
offset from the most stable computed form	0.0	meV per atom
magnetization	0.00	μB/atom